PrGdRh2 | GGA-PBE | relaxed

Calculated values
**Offset from the most stable computed form**: 0.003 eV/atom
**Uncorrected energy**: -9.071 eV per atom
**Symmetry**: P4/mmm (123)

Lattice parameters (Å, degrees): 5.025 5.025 3.442 90.00 90.00 90.00
Sites, in units of the cell vectors:
1 Pr 0.000 0.000 0.000
2 Gd 0.500 0.500 0.000
3 Rh 0.000 0.500 0.500
4 Rh 0.500 0.000 0.500

PrGdRuRh | GGA-PBE | relaxed

Calculated values
**Uncorrected energy**: -9.279 eV per atom
**Symmetry**: F-43m (216)

Lattice parameters (Å, degrees): 4.952 4.952 4.952 60.00 60.00 60.00
Sites, in units of the cell vectors:
1 Pr 0.000 0.000 0.000
2 Gd 0.500 0.500 0.500
3 Ru 0.750 0.750 0.750
4 Rh 0.250 0.250 0.250

PrGdSnRh | GGA-PBE | relaxed

Calculated values
**Uncorrected energy**: -8.125 eV per atom
**Symmetry**: F-43m (216)

Lattice parameters (Å, degrees): 5.236 5.236 5.236 60.00 60.00 60.00
Sites, in units of the cell vectors:
1 Pr 0.000 0.000 0.000
2 Gd 0.500 0.500 0.500
3 Sn 0.250 0.250 0.250
4 Rh 0.750 0.750 0.750

PrGdTlRh | GGA-PBE | relaxed

Calculated values
**Uncorrected energy**: -7.553 eV per atom
**Symmetry**: F-43m (216)

Lattice parameters (Å, degrees): 5.247 5.247 5.247 60.00 60.00 60.00
Sites, in units of the cell vectors:
1 Pr 0.000 0.000 0.000
2 Gd 0.500 0.500 0.500
3 Tl 0.750 0.750 0.750
4 Rh 0.250 0.250 0.250

PrGdRu | GGA-PBE | relaxed

Calculated values
**Offset from the most stable computed form**: 0.255 eV/atom
**Uncorrected energy**: -9.319 eV per atom
**Symmetry**: P-6m2 (187)

Lattice parameters (Å, degrees): 4.556 4.556 4.434 90.00 90.00 120.00
Sites, in units of the cell vectors:
1 Pr 0.000 0.000 0.000
2 Gd 0.667 0.333 0.500
3 Ru 0.333 0.667 0.500

PrGdRu4 | GGA-PBE | relaxed

Calculated values
**Uncorrected energy**: -9.500 eV per atom
**Symmetry**: F-43m (216)

Lattice parameters (Å, degrees): 5.403 5.403 5.403 60.00 60.00 60.00
Sites, in units of the cell vectors:
1 Pr 0.000 0.000 0.000
2 Gd 0.750 0.750 0.750
3 Ru 0.375 0.375 0.375
4 Ru 0.375 0.375 0.874
5 Ru 0.375 0.874 0.375
6 Ru 0.874 0.375 0.375

Pr2GdRu | GGA-PBE | relaxed

Calculated values
**Uncorrected energy**: -8.243 eV per atom
**Symmetry**: P4/mmm (123)

Lattice parameters (Å, degrees): 3.590 3.590 8.961 90.00 90.00 90.00
Sites, in units of the cell vectors:
1 Pr 0.000 0.000 0.191
2 Pr 0.000 0.000 0.809
3 Gd 0.500 0.500 0.500
4 Ru 0.500 0.500 0.000

PrGdRu | GGA-PBE | relaxed

Calculated values
**Offset from the most stable computed form**: 0.024 eV/atom
**Uncorrected energy**: -9.550 eV per atom
**Symmetry**: F-43m (216)

Lattice parameters (Å, degrees): 4.891 4.891 4.891 60.00 60.00 60.00
Sites, in units of the cell vectors:
1 Pr 0.000 0.000 0.000
2 Gd 0.500 0.500 0.500
3 Ru 0.250 0.250 0.250

PrGdRu | GGA-PBE | relaxed

Calculated values
**Offset from the most stable computed form**: 0.000 eV/atom
**Uncorrected energy**: -9.574 eV per atom
**Symmetry**: I4mm (107)

Lattice parameters (Å, degrees): 7.179 7.179 7.179 151.98 151.98 40.04
Sites, in units of the cell vectors:
1 Pr 0.000 0.000 0.000
2 Gd 0.252 0.252 0.000
3 Ru 0.632 0.632 0.000

PrGdSnRu | GGA-PBE | relaxed

Calculated values
**Uncorrected energy**: -8.341 eV per atom
**Symmetry**: F-43m (216)

Lattice parameters (Å, degrees): 5.203 5.203 5.203 60.00 60.00 60.00
Sites, in units of the cell vectors:
1 Pr 0.000 0.000 0.000
2 Gd 0.500 0.500 0.500
3 Sn 0.750 0.750 0.750
4 Ru 0.250 0.250 0.250

Pr3GdS | GGA-PBE | relaxed

Calculated values
**Uncorrected energy**: -7.172 eV per atom
**E_form (uncorrected)**: -663 meV per atom
**Symmetry**: Pm-3m (221)

Lattice parameters (Å, degrees): 5.554 5.554 5.554 90.00 90.00 90.00
Sites, in units of the cell vectors:
1 Pr 0.000 0.000 0.500
2 Pr 0.000 0.500 0.000
3 Pr 0.500 0.000 0.000
4 Gd 0.500 0.500 0.500
5 S 0.000 0.000 0.000

Pr2GdS | GGA-PBE | relaxed

Calculated values
**Uncorrected energy**: -7.820 eV per atom
**E_form (uncorrected)**: -878 meV per atom
**Symmetry**: R-3m (166)

Lattice parameters (Å, degrees): 9.787 9.787 9.787 23.07 23.07 23.07
Sites, in units of the cell vectors:
1 Pr 0.229 0.229 0.229
2 Pr 0.771 0.771 0.771
3 Gd 0.000 0.000 0.000
4 S 0.500 0.500 0.500

PrGdSb | GGA-PBE | relaxed

Calculated values
**Offset from the most stable computed form**: 0.213 eV/atom
**Uncorrected energy**: -8.141 eV per atom
**E_form (uncorrected)**: -480 meV per atom
**Symmetry**: P3m1 (156)

Lattice parameters (Å, degrees): 5.134 5.134 4.185 90.00 90.00 120.00
Sites, in units of the cell vectors:
1 Pr 0.000 0.000 0.000
2 Gd 0.333 0.667 0.471
3 Sb 0.667 0.333 0.650

PrGdSb2 | GGA-PBE | relaxed

Calculated values
**Uncorrected energy**: -7.955 eV per atom
**E_form (uncorrected)**: -1179 meV per atom
**Symmetry**: R-3m (166)

Lattice parameters (Å, degrees): 7.774 7.774 7.774 33.56 33.56 33.56
Sites, in units of the cell vectors:
1 Pr 0.000 0.000 0.000
2 Gd 0.500 0.500 0.500
3 Sb 0.247 0.247 0.247
4 Sb 0.753 0.753 0.753

PrGdSb | GGA-PBE | relaxed

Calculated values
**Offset from the most stable computed form**: 0.000 eV/atom
**Uncorrected energy**: -8.354 eV per atom
**E_form (uncorrected)**: -693 meV per atom
**Symmetry**: I4mm (107)

Lattice parameters (Å, degrees): 6.016 6.016 6.016 139.97 139.97 57.89
Sites, in units of the cell vectors:
1 Pr 0.000 0.000 0.000
2 Gd 0.305 0.305 0.000
3 Sb 0.661 0.661 0.000

PrGd2Sb | GGA-PBE | relaxed

Calculated values
**Offset from the most stable computed form**: 0.014 eV/atom
**Uncorrected energy**: -9.789 eV per atom
**E_form (uncorrected)**: -523 meV per atom
**Symmetry**: P4/mmm (123)

Lattice parameters (Å, degrees): 4.058 4.058 7.382 90.00 90.00 90.00
Sites, in units of the cell vectors:
1 Pr 0.000 0.000 0.000
2 Gd 0.500 0.500 0.285
3 Gd 0.500 0.500 0.715
4 Sb 0.000 0.000 0.500

PrGd2Sb | GGA-PBE | relaxed

Calculated values
**Offset from the most stable computed form**: 0.000 eV/atom
**Uncorrected energy**: -9.803 eV per atom
**E_form (uncorrected)**: -537 meV per atom
**Symmetry**: P4/mmm (123)

Lattice parameters (Å, degrees): 4.880 4.880 4.881 90.00 90.00 90.00
Sites, in units of the cell vectors:
1 Pr 0.000 0.000 0.000
2 Gd 0.000 0.500 0.500
3 Gd 0.500 0.000 0.500
4 Sb 0.500 0.500 0.000

PrGd2Sb | GGA-PBE | relaxed

Calculated values
**Offset from the most stable computed form**: 0.232 eV/atom
**Uncorrected energy**: -9.571 eV per atom
**E_form (uncorrected)**: -305 meV per atom
**Symmetry**: Fm-3m (225)

Lattice parameters (Å, degrees): 5.494 5.494 5.494 60.00 60.00 60.00
Sites, in units of the cell vectors:
1 Pr 0.000 0.000 0.000
2 Gd 0.250 0.250 0.250
3 Gd 0.750 0.750 0.750
4 Sb 0.500 0.500 0.500

Pr2GdSc | GGA-PBE | relaxed

Calculated values
**Offset from the most stable computed form**: 0.069 eV/atom
**Uncorrected energy**: -7.389 eV per atom
**Symmetry**: Fm-3m (225)

Lattice parameters (Å, degrees): 5.668 5.668 5.668 60.00 60.00 60.00
Sites, in units of the cell vectors:
1 Pr 0.250 0.250 0.250
2 Pr 0.750 0.750 0.750
3 Gd 0.000 0.000 0.000
4 Sc 0.500 0.500 0.500

PrGdSc4 | GGA-PBE | relaxed

Calculated values
**Uncorrected energy**: -7.135 eV per atom
**Symmetry**: F-43m (216)

Lattice parameters (Å, degrees): 6.296 6.296 6.296 60.00 60.00 60.00
Sites, in units of the cell vectors:
1 Pr 0.000 0.000 0.000
2 Gd 0.250 0.250 0.250
3 Sc 0.128 0.624 0.624
4 Sc 0.624 0.128 0.624
5 Sc 0.624 0.624 0.128
6 Sc 0.624 0.624 0.624

Pr2GdSc | GGA-PBE | relaxed

Calculated values
**Offset from the most stable computed form**: 0.000 eV/atom
**Uncorrected energy**: -7.458 eV per atom
**Symmetry**: P4/mmm (123)

Lattice parameters (Å, degrees): 3.637 3.637 9.701 90.00 90.00 90.00
Sites, in units of the cell vectors:
1 Pr 0.000 0.000 0.236
2 Pr 0.000 0.000 0.764
3 Gd 0.500 0.500 0.500
4 Sc 0.500 0.500 0.000

Pr2GdSc | GGA-PBE | relaxed

Calculated values
**Offset from the most stable computed form**: 0.003 eV/atom
**Uncorrected energy**: -7.455 eV per atom
**Symmetry**: P4/mmm (123)

Lattice parameters (Å, degrees): 5.085 5.085 4.945 90.00 90.00 90.00
Sites, in units of the cell vectors:
1 Pr 0.000 0.500 0.000
2 Pr 0.500 0.000 0.000
3 Gd 0.000 0.000 0.500
4 Sc 0.500 0.500 0.500

Pr2GdSc | GGA-PBE | relaxed

Calculated values
**Offset from the most stable computed form**: 0.193 eV/atom
**Uncorrected energy**: -7.265 eV per atom
**Symmetry**: R-3m (166)

Lattice parameters (Å, degrees): 12.503 12.503 12.503 16.01 16.01 16.01
Sites, in units of the cell vectors:
1 Pr 0.086 0.086 0.086
2 Pr 0.914 0.914 0.914
3 Gd 0.500 0.500 0.500
4 Sc 0.000 0.000 0.000

PrSmGdSc | GGA-PBE | relaxed

Calculated values
**Uncorrected energy**: -7.355 eV per atom
**Symmetry**: F-43m (216)

Lattice parameters (Å, degrees): 5.639 5.639 5.639 60.00 60.00 60.00
Sites, in units of the cell vectors:
1 Pr 0.000 0.000 0.000
2 Sm 0.750 0.750 0.750
3 Gd 0.500 0.500 0.500
4 Sc 0.250 0.250 0.250

PrGdScSn | GGA-PBE | relaxed

Calculated values
**Uncorrected energy**: -7.565 eV per atom
**Symmetry**: F-43m (216)

Lattice parameters (Å, degrees): 5.422 5.422 5.422 60.00 60.00 60.00
Sites, in units of the cell vectors:
1 Pr 0.000 0.000 0.000
2 Gd 0.500 0.500 0.500
3 Sc 0.750 0.750 0.750
4 Sn 0.250 0.250 0.250

TbPrGdSc | GGA-PBE | relaxed

Calculated values
**Uncorrected energy**: -7.349 eV per atom
**Symmetry**: F-43m (216)

Lattice parameters (Å, degrees): 5.610 5.610 5.610 60.00 60.00 60.00
Sites, in units of the cell vectors:
1 Tb 0.000 0.000 0.000
2 Pr 0.250 0.250 0.250
3 Gd 0.750 0.750 0.750
4 Sc 0.500 0.500 0.500

PrGdYSc | GGA-PBE | relaxed

Calculated values
**Uncorrected energy**: -7.816 eV per atom
**Symmetry**: F-43m (216)

Lattice parameters (Å, degrees): 5.617 5.617 5.617 60.00 60.00 60.00
Sites, in units of the cell vectors:
1 Pr 0.000 0.000 0.000
2 Gd 0.500 0.500 0.500
3 Y 0.250 0.250 0.250
4 Sc 0.750 0.750 0.750

PrGdScZn | GGA-PBE | relaxed

Calculated values
**Uncorrected energy**: -6.628 eV per atom
**Symmetry**: F-43m (216)

Lattice parameters (Å, degrees): 5.315 5.315 5.315 60.00 60.00 60.00
Sites, in units of the cell vectors:
1 Pr 0.000 0.000 0.000
2 Gd 0.500 0.500 0.500
3 Sc 0.250 0.250 0.250
4 Zn 0.750 0.750 0.750

PrGdSe2 | GGA-PBE | relaxed

Calculated values
**Uncorrected energy**: -8.317 eV per atom
**E_form (uncorrected)**: -1859 meV per atom
**Symmetry**: R-3m (166)

Lattice parameters (Å, degrees): 7.300 7.300 7.300 33.35 33.35 33.35
Sites, in units of the cell vectors:
1 Pr 0.000 0.000 0.000
2 Gd 0.500 0.500 0.500
3 Se 0.246 0.246 0.246
4 Se 0.754 0.754 0.754

Pr2GdSe | GGA-PBE | relaxed

Calculated values
**Uncorrected energy**: -7.561 eV per atom
**E_form (uncorrected)**: -780 meV per atom
**Symmetry**: R-3m (166)

Lattice parameters (Å, degrees): 9.977 9.977 9.977 22.91 22.91 22.91
Sites, in units of the cell vectors:
1 Pr 0.233 0.233 0.233
2 Pr 0.767 0.767 0.767
3 Gd 0.000 0.000 0.000
4 Se 0.500 0.500 0.500

PrGdSe | GGA-PBE | relaxed

Calculated values
**Uncorrected energy**: -8.584 eV per atom
**E_form (uncorrected)**: -1135 meV per atom
**Symmetry**: P3m1 (156)

Lattice parameters (Å, degrees): 3.991 3.991 6.691 90.00 90.00 120.00
Sites, in units of the cell vectors:
1 Pr 0.000 0.000 0.000
2 Gd 0.333 0.667 0.556
3 Se 0.667 0.333 0.290